GGA-PBE ZrZn2Te, optimized geometry; total magnetic moment = 0.0 μB per formula unit; calculated total energy = -3.69 eV/atom; formation energy without anion corrections = -0.131 eV/atom
1.0
5.726 0.003 0.000
2.883 4.947 0.000
-4.305 -2.475 2.851
Zn Te Zr
2 1 1
Cartesian
0.000 0.000 0.000
4.305 2.475 0.000
2.863 0.001 1.426
1.442 2.473 1.426



GGA-PBE BaLa2TlNi, optimized geometry; total magnetic moment = 0.0 μB per formula unit; excess energy over the best structure of this formula in the dataset = 0 meV/atom; calculated total energy = -4.08 eV/atom; calculated formation energy = -0.471 eV/f.u.
1.0
-1.500 0.312 5.340
1.133 -5.402 0.634
5.000 1.205 1.334
Tl Ni La Ba
1 1 2 1
Cartesian
2.500 0.603 0.667
0.000 0.000 0.000
-0.750 0.156 2.670
0.566 -2.701 0.317
2.317 -1.942 3.654



GGA-PBE Sn8Sb3, optimized geometry; total magnetic moment = 0.0 μB per formula unit; calculated total energy = -4.00 eV/atom; formation energy without anion corrections = 0.036 eV/atom
1.0
-1.993 3.853 -0.142
-1.093 1.738 -3.824
-18.734 -7.261 -0.407
Sb Sn
3 8
Cartesian
-4.295 0.180 -1.153
0.000 0.000 0.000
-17.525 -1.851 -3.220
-13.965 -4.804 -0.653
-18.186 -4.585 -1.810
-12.745 0.612 -3.467
-8.537 0.388 -2.309
-7.854 3.133 -3.720
-13.283 -2.058 -2.064
-3.634 2.914 -2.563
-9.075 -2.283 -0.906



GGA-PBE CeHo2Tm3Se6, optimized geometry; total magnetic moment = 1.1 μB per formula unit; calculated total energy = -5.83 eV/atom; formation energy without anion corrections = -1.712 eV/atom
1.0
-2.876 -2.577 1.157
2.159 -5.112 -6.019
6.474 -1.262 6.262
Se Tm Ho Ce
6 3 2 1
Cartesian
4.244 -3.816 2.054
5.279 -6.357 -1.034
1.601 -3.777 -4.433
1.512 -5.135 -0.654
4.155 -5.174 5.833
0.477 -2.594 2.434
3.449 -5.100 -2.783
2.307 -3.851 4.183
-0.359 -3.844 -2.431
2.354 -2.510 0.264
3.402 -6.441 1.136
-1.438 -1.288 0.578